Entry 1:
The following is a PBE-GGA calculation of CuSn2Pd after structural relaxation, from the Alexandria database.

Cell lengths 5.3707, 4.2588, 7.1454 Å; angles 90.00, 110.11, 90.00 degrees
Closest atoms and distances in Å follow each position.
Space group P2_1/m (No. 11)
One atom of each set of equivalent atoms:
Cu (0.1762, 0.2500, 0.2917) x2  2 Pd 2.70, 7 Sn 2.72-2.94
Sn (0.2847, 0.7500, 0.5748) x2  4 Cu 2.72-2.94, 3 Pd 2.83-2.84
Sn (0.2898, 0.7500, 0.0698) x2  4 Pd 2.82-2.89, 3 Cu 2.84-2.91
Pd (0.1513, 0.2500, 0.7865) x2  2 Cu 2.70, 7 Sn 2.82-2.89

Properties
formation energy = -0.24 eV per atom

Entry 2:
The following is a PBE-GGA calculation of Th2AgHg6 after structural relaxation, from the Alexandria database.

Cell lengths 8.8135, 8.8135, 3.3152 Å; angles 90.00, 90.00, 120.00 degrees
Closest atoms and distances in Å follow each position.
Space group P6/mmm (No. 191)
One atom of each set of equivalent atoms:
Th (0.3333, 0.6667, 0.0000) x2  2 Th 3.32, 12 Hg 3.40
Ag (0.0000, 0.0000, 0.0000) x1  12 Hg 3.31, 2 Ag 3.32
Hg (0.0000, 0.3253, 0.5000) x6  3 Hg 2.87-3.08

Properties
formation energy = -0.11 eV per atom

Entry 3:
The following is a PBE-GGA calculation of LiAcYCo after structural relaxation, from the Alexandria database.

Cell lengths 7.2377, 7.2377, 7.2377 Å; angles 90.00, 90.00, 90.00 degrees
Closest atoms and distances in Å follow each position.
Space group F-43m (No. 216)
One atom of each set of equivalent atoms:
Li (0.0000, 0.0000, 0.0000) x4  4 Ac 3.13, 4 Y 3.13
Ac (0.2500, 0.2500, 0.7500) x4  4 Li 3.13, 4 Co 3.13
Y (0.2500, 0.2500, 0.2500) x4  4 Li 3.13, 4 Co 3.13
Co (0.0000, 0.0000, 0.5000) x4  4 Ac 3.13, 4 Y 3.13

Properties
formation energy = 0.08 eV per atom